Density functional theory data (PBE+U) for KLiY2Mo4O16 after structural relaxation.

The structure in CIF format:
```
data_KLiY2Mo4O16
_cell_length_a 5.286
_cell_length_b 12.794
_cell_length_c 19.837
_cell_angle_alpha 90.00
_cell_angle_beta 94.21
_cell_angle_gamma 90.00
_symmetry_space_group_name_H-M 'C 1 2/c 1'
_symmetry_Int_Tables_number 15
loop_
_symmetry_equiv_pos_as_xyz
'x,y,z'
'-x,-y,-z'
'-x,y,-z+1/2'
'x,-y,z+1/2'
'x+1/2,y+1/2,z'
'-x+1/2,-y+1/2,-z'
'-x+1/2,y+1/2,-z+1/2'
'x+1/2,-y+1/2,z+1/2'
loop_
_atom_site_label
_atom_site_type_symbol
_atom_site_fract_x
_atom_site_fract_y
_atom_site_fract_z
K1 K 0.000 0.032 0.250
Li1 Li 0.000 0.312 0.250
Y1 Y 0.001 0.147 0.468
Mo1 Mo 0.017 0.255 0.646
Mo2 Mo 0.022 0.438 0.091
O1 O 0.097 0.408 0.330
O2 O 0.119 0.135 0.831
O3 O 0.164 0.333 0.041
O4 O 0.185 0.238 0.566
O5 O 0.228 0.451 0.600
O6 O 0.232 0.294 0.713
O7 O 0.238 0.020 0.538
O8 O 0.246 0.345 0.870
```

Summary:
Calculated total energy (eV for the cell shown): -700.86